Record 1
Below is KSi2As after structural relaxation, with properties calculated at the PBE level. Values from VASP.

Output
* energy: -3.570 eV per atom
* crystal system: tetragonal
* space-group type: P4/mmm
* formation energy (no corrections): 0.578 eV/atom

Geometry as Quantum ESPRESSO input:
```
&SYSTEM
  ibrav = 0, nat = 4, ntyp = 3
/
ATOMIC_SPECIES
As 74.92 As.upf
K 39.10 K.upf
Si 28.09 Si.upf
ATOMIC_POSITIONS crystal
As 0.5000 0.0000 0.5000
K 0.0000 0.5000 0.5000
Si 0.0000 0.0000 0.0000
Si 0.5000 0.5000 0.0000
CELL_PARAMETERS angstrom
-1.0163 -3.4700 2.3897
4.0888 -1.4231 -0.3276
1.0620 2.2091 3.6594
```



Record 2
Below is KSi2As after structural relaxation, with properties calculated at the PBE level. Values from VASP.

Output
* energy: -3.813 eV per atom
* crystal system: tetragonal
* space-group type: I-42d
* formation energy (no corrections): 0.336 eV/atom

Geometry as Quantum ESPRESSO input:
```
&SYSTEM
  ibrav = 0, nat = 8, ntyp = 3
/
ATOMIC_SPECIES
As 74.92 As.upf
Si 28.09 Si.upf
K 39.10 K.upf
ATOMIC_POSITIONS crystal
As 0.0000 0.0000 0.0000
As 0.7500 0.2500 0.5000
Si 0.6969 0.1250 0.2500
Si 0.0531 0.6250 0.2500
Si 0.3750 0.3031 0.7500
Si 0.8750 0.9469 0.7500
K 0.5000 0.5000 0.0000
K 0.2500 0.7500 0.5000
CELL_PARAMETERS angstrom
7.7632 0.0000 0.0000
0.0000 7.7632 0.0000
3.8816 3.8816 3.2948
```



Record 3
Below is KSiAs2 after structural relaxation, with properties calculated at the PBE level. Values from VASP.

Output
* energy: -3.564 eV per atom
* crystal system: tetragonal
* space-group type: P4/mmm
* formation energy (no corrections): 0.391 eV/atom

Geometry as Quantum ESPRESSO input:
```
&SYSTEM
  ibrav = 0, nat = 4, ntyp = 3
/
ATOMIC_SPECIES
As 74.92 As.upf
K 39.10 K.upf
Si 28.09 Si.upf
ATOMIC_POSITIONS crystal
As 0.0000 0.0000 0.0000
As 0.5000 0.5000 0.0000
K 0.5000 0.0000 0.5000
Si 0.0000 0.5000 0.5000
CELL_PARAMETERS angstrom
-1.5915 0.4933 -4.1577
2.9609 -3.0123 -1.4908
-2.8470 -3.1526 0.7157
```



Record 4
Below is KSiAs after structural relaxation, with properties calculated at the PBE level. Values from VASP.

Output
* energy: -3.320 eV per atom
* crystal system: cubic
* space-group type: F-43m
* formation energy (no corrections): 0.404 eV/atom

Geometry as Quantum ESPRESSO input:
```
&SYSTEM
  ibrav = 0, nat = 3, ntyp = 3
/
ATOMIC_SPECIES
As 74.92 As.upf
K 39.10 K.upf
Si 28.09 Si.upf
ATOMIC_POSITIONS crystal
As 0.0000 0.0000 0.0000
K 0.5000 0.5000 0.5000
Si 0.7500 0.7500 0.7500
CELL_PARAMETERS angstrom
-3.2392 3.0012 2.1358
-4.7437 -1.2358 0.1750
-2.0527 -1.2500 4.2761
```



Record 5
Below is KSiAs2 after structural relaxation, with properties calculated at the PBE level. Values from VASP.

Output
* energy: -4.190 eV per atom
* crystal system: monoclinic
* space-group type: P2/c
* formation energy (no corrections): -0.235 eV/atom

Geometry as Quantum ESPRESSO input:
```
&SYSTEM
  ibrav = 0, nat = 16, ntyp = 3
/
ATOMIC_SPECIES
K 39.10 K.upf
Si 28.09 Si.upf
As 74.92 As.upf
ATOMIC_POSITIONS crystal
K 0.2775 0.9562 0.3726
K 0.7225 0.0438 0.6274
K 0.2775 0.5438 0.1274
K 0.7225 0.4562 0.8726
Si 0.0789 0.6049 0.6098
Si 0.9211 0.3951 0.3902
Si 0.0789 0.8951 0.8902
Si 0.9211 0.1049 0.1098
As 0.7513 0.9490 0.9398
As 0.2487 0.0510 0.0602
As 0.7513 0.5510 0.5602
As 0.2487 0.4490 0.4398
As 0.7663 0.4200 0.1898
As 0.2337 0.5800 0.8102
As 0.7663 0.0800 0.3102
As 0.2337 0.9200 0.6898
CELL_PARAMETERS angstrom
6.9568 0.0000 0.0000
0.0000 6.5498 0.1880
0.0000 -0.7007 10.6158
```



Record 6
Below is KSiAs2 after structural relaxation, with properties calculated at the PBE level. Values from VASP.

Output
* energy: -4.005 eV per atom
* crystal system: monoclinic
* space-group type: Cm
* formation energy (no corrections): -0.050 eV/atom

Geometry as Quantum ESPRESSO input:
```
&SYSTEM
  ibrav = 0, nat = 4, ntyp = 3
/
ATOMIC_SPECIES
As 74.92 As.upf
K 39.10 K.upf
Si 28.09 Si.upf
ATOMIC_POSITIONS crystal
As 0.9547 0.9547 0.9994
As 0.7587 0.7587 0.8630
K 0.5104 0.5104 0.4804
Si 0.2763 0.2763 0.1573
CELL_PARAMETERS angstrom
5.6829 0.0168 0.0429
4.6187 3.3110 0.0429
1.4299 0.4619 5.8965
```



Record 7
Below is KSiAs2 after structural relaxation, with properties calculated at the PBE level. Values from VASP.

Output
* energy: -3.925 eV per atom
* crystal system: orthorhombic
* space-group type: Pmmm
* formation energy (no corrections): 0.030 eV/atom

Geometry as Quantum ESPRESSO input:
```
&SYSTEM
  ibrav = 0, nat = 4, ntyp = 3
/
ATOMIC_SPECIES
As 74.92 As.upf
K 39.10 K.upf
Si 28.09 Si.upf
ATOMIC_POSITIONS crystal
As 0.0000 0.7494 0.9457
As 0.0000 0.7506 0.5543
K 0.5000 0.2500 0.2500
Si 0.5000 0.7500 0.7500
CELL_PARAMETERS angstrom
4.7755 0.0000 0.0000
0.0000 2.9286 -0.0003
0.0000 0.0037 6.3749
```



Record 8
Below is KSiAs2 after structural relaxation, with properties calculated at the PBE level. Values from VASP.

Output
* energy: -3.901 eV per atom
* crystal system: monoclinic
* space-group type: Pm
* formation energy (no corrections): 0.054 eV/atom

Geometry as Quantum ESPRESSO input:
```
&SYSTEM
  ibrav = 0, nat = 4, ntyp = 3
/
ATOMIC_SPECIES
As 74.92 As.upf
K 39.10 K.upf
Si 28.09 Si.upf
ATOMIC_POSITIONS crystal
As 0.0000 0.0024 0.9891
As 0.5000 0.9995 0.1913
K 0.0000 0.4996 0.4985
Si 0.5000 0.9985 0.8211
CELL_PARAMETERS angstrom
-1.0149 0.7073 4.8024
-2.8514 -0.5758 -0.5178
1.0515 -6.2155 1.1376
```